# 1
LiMgAg2 | PBE-GGA | relaxed

```
data_LiMgAg2
_cell_length_a 3.9918
_cell_length_b 3.9918
_cell_length_c 10.0718
_cell_angle_alpha 78.57
_cell_angle_beta 78.57
_cell_angle_gamma 90.00
_symmetry_space_group_name_H-M 'P 1'
_symmetry_Int_Tables_number 1
loop_
_symmetry_equiv_pos_as_xyz
'x,y,z'
loop_
_atom_site_label
_atom_site_type_symbol
_atom_site_fract_x
_atom_site_fract_y
_atom_site_fract_z
Ag1 Ag 0.3750 0.3776 0.7500
Ag2 Ag 0.6224 0.1250 0.2500
Ag3 Ag 0.8750 0.8724 0.7500
Ag4 Ag 0.1276 0.6250 0.2500
Mg1 Mg 0.7500 0.2500 0.5000
Mg2 Mg 0.0000 0.0000 0.0000
Li1 Li 0.5000 0.5000 0.0000
Li2 Li 0.2500 0.7500 0.5000
```

Calculated values
**Calculated formation energy**: 0.057 eV/atom
**DFT total energy**: -2.245 eV per atom
**Space-group type**: No. 122
**Theoretical density**: 5324 kg/m³



# 2
ScAsS3 | PBE-GGA | relaxed

```
data_ScAsS3
_cell_length_a 4.8673
_cell_length_b 4.8673
_cell_length_c 4.8673
_cell_angle_alpha 90.00
_cell_angle_beta 90.00
_cell_angle_gamma 90.00
_symmetry_space_group_name_H-M 'P 1'
_symmetry_Int_Tables_number 1
loop_
_symmetry_equiv_pos_as_xyz
'x,y,z'
loop_
_atom_site_label
_atom_site_type_symbol
_atom_site_fract_x
_atom_site_fract_y
_atom_site_fract_z
S1 S 0.0000 0.0000 0.5000
S2 S 0.5000 0.0000 0.0000
S3 S 0.0000 0.5000 0.0000
As1 As 0.5000 0.5000 0.5000
Sc1 Sc 0.0000 0.0000 0.0000
```

Calculated values
**DFT total energy**: -4.744 eV per atom
**Space-group type**: No. 221
**Theoretical density**: 3112 kg/m³
**Energy above the most stable polymorph in this dataset**: 0.9182 eV/atom
**ΔE_f (raw)**: -0.35 eV per formula unit



# 3
TmLuPuIn | PBE-GGA | relaxed

```
data_TmLuPuIn
_cell_length_a 5.3358
_cell_length_b 5.3358
_cell_length_c 5.3358
_cell_angle_alpha 60.00
_cell_angle_beta 60.00
_cell_angle_gamma 60.00
_symmetry_space_group_name_H-M 'P 1'
_symmetry_Int_Tables_number 1
loop_
_symmetry_equiv_pos_as_xyz
'x,y,z'
loop_
_atom_site_label
_atom_site_type_symbol
_atom_site_fract_x
_atom_site_fract_y
_atom_site_fract_z
Pu1 Pu 0.0000 0.0000 0.0000
In1 In 0.5000 0.5000 0.5000
Lu1 Lu 0.7500 0.7500 0.7500
Tm1 Tm 0.2500 0.2500 0.2500
```

Calculated values
**Calculated formation energy**: -0.032 eV/atom
**DFT total energy**: -6.548 eV per atom
**Space-group type**: No. 216
**Theoretical density**: 10863 kg/m³



# 4
Fe4HgTe | PBE-GGA | relaxed

```
data_Fe4HgTe
_cell_length_a 5.0922
_cell_length_b 5.0922
_cell_length_c 5.0922
_cell_angle_alpha 60.00
_cell_angle_beta 60.00
_cell_angle_gamma 60.00
_symmetry_space_group_name_H-M 'P 1'
_symmetry_Int_Tables_number 1
loop_
_symmetry_equiv_pos_as_xyz
'x,y,z'
loop_
_atom_site_label
_atom_site_type_symbol
_atom_site_fract_x
_atom_site_fract_y
_atom_site_fract_z
Fe1 Fe 0.3765 0.3765 0.8706
Fe2 Fe 0.3765 0.8706 0.3765
Fe3 Fe 0.3765 0.3765 0.3765
Fe4 Fe 0.8706 0.3765 0.3765
Te1 Te 0.0000 0.0000 0.0000
Hg1 Hg 0.7500 0.7500 0.7500
```

Calculated values
**DFT total energy**: -5.825 eV per atom
**Space-group type**: No. 216
**Theoretical density**: 9809 kg/m³
**ΔE_f (raw)**: 2.34 eV per formula unit



# 5
Nd5Dy2HoSc | PBE-GGA | relaxed

```
data_Nd5Dy2HoSc
_cell_length_a 5.3780
_cell_length_b 11.2779
_cell_length_c 10.2427
_cell_angle_alpha 90.00
_cell_angle_beta 90.00
_cell_angle_gamma 103.79
_symmetry_space_group_name_H-M 'P 1'
_symmetry_Int_Tables_number 1
loop_
_symmetry_equiv_pos_as_xyz
'x,y,z'
loop_
_atom_site_label
_atom_site_type_symbol
_atom_site_fract_x
_atom_site_fract_y
_atom_site_fract_z
Nd1 Nd 0.0006 0.0011 0.5080
Nd2 Nd 0.7215 0.4430 0.8207
Nd3 Nd 0.9995 0.9989 0.0081
Nd4 Nd 0.7211 0.4423 0.1964
Nd5 Nd 0.2785 0.5570 0.3207
Nd6 Nd 0.6270 0.2541 0.5082
Nd7 Nd 0.2789 0.5577 0.6964
Nd8 Nd 0.4999 0.9999 0.2580
Nd9 Nd 0.5001 0.0002 0.7580
Nd10 Nd 0.3730 0.7459 0.0082
Dy1 Dy 0.8843 0.7686 0.2600
Dy2 Dy 0.1157 0.2314 0.7601
Dy3 Dy 0.8846 0.7692 0.7561
Dy4 Dy 0.1154 0.2308 0.2561
Sc1 Sc 0.7872 0.5744 0.5085
Sc2 Sc 0.2128 0.4256 0.0085
Ho1 Ho 0.3984 0.7968 0.5081
Ho2 Ho 0.6016 0.2032 0.0081
```

Calculated values
**Calculated formation energy**: 0.124 eV/atom
**DFT total energy**: -4.759 eV per atom
**Space-group type**: No. 36
**Theoretical density**: 6914 kg/m³



# 6
ZrTlSe2 | PBE-GGA | relaxed

```
data_ZrTlSe2
_cell_length_a 5.0573
_cell_length_b 5.0573
_cell_length_c 5.0573
_cell_angle_alpha 60.00
_cell_angle_beta 60.00
_cell_angle_gamma 60.00
_symmetry_space_group_name_H-M 'P 1'
_symmetry_Int_Tables_number 1
loop_
_symmetry_equiv_pos_as_xyz
'x,y,z'
loop_
_atom_site_label
_atom_site_type_symbol
_atom_site_fract_x
_atom_site_fract_y
_atom_site_fract_z
Se1 Se 0.2500 0.2500 0.2500
Se2 Se 0.0000 0.0000 0.0000
Zr1 Zr 0.7500 0.7500 0.7500
Tl1 Tl 0.5000 0.5000 0.5000
```

Calculated values
**DFT total energy**: -4.413 eV per atom
**Space-group type**: No. 216
**Theoretical density**: 8234 kg/m³
**ΔE_f (raw)**: 0.23 eV per formula unit



# 7
TaAs5 | PBE-GGA | relaxed

```
data_TaAs5
_cell_length_a 5.1242
_cell_length_b 5.1242
_cell_length_c 5.3345
_cell_angle_alpha 90.00
_cell_angle_beta 90.00
_cell_angle_gamma 120.00
_symmetry_space_group_name_H-M 'P 1'
_symmetry_Int_Tables_number 1
loop_
_symmetry_equiv_pos_as_xyz
'x,y,z'
loop_
_atom_site_label
_atom_site_type_symbol
_atom_site_fract_x
_atom_site_fract_y
_atom_site_fract_z
Ta1 Ta 0.0000 0.0000 0.0000
As1 As 0.0000 0.5000 0.5000
As2 As 0.3333 0.6667 0.0000
As3 As 0.6667 0.3333 0.0000
As4 As 0.5000 0.0000 0.5000
As5 As 0.5000 0.5000 0.5000
```

Calculated values
**Calculated formation energy**: 0.739 eV/atom
**DFT total energy**: -5.111 eV per atom
**Space-group type**: No. 191
**Theoretical density**: 7605 kg/m³
**Energy above the most stable polymorph in this dataset**: 0.7522 eV/atom



# 8
Pm2PrGaN4 | PBE-GGA | relaxed

```
data_Pm2PrGaN4
_cell_length_a 3.5160
_cell_length_b 6.1761
_cell_length_c 12.1116
_cell_angle_alpha 90.00
_cell_angle_beta 90.00
_cell_angle_gamma 106.54
_symmetry_space_group_name_H-M 'P 1'
_symmetry_Int_Tables_number 1
loop_
_symmetry_equiv_pos_as_xyz
'x,y,z'
loop_
_atom_site_label
_atom_site_type_symbol
_atom_site_fract_x
_atom_site_fract_y
_atom_site_fract_z
N1 N 0.5633 0.1265 0.2500
N2 N 0.4367 0.8735 0.7500
N3 N 0.7304 0.4608 0.8721
N4 N 0.2696 0.5392 0.3721
N5 N 0.7304 0.4608 0.6279
N6 N 0.2696 0.5392 0.1279
N7 N 0.0000 0.0000 0.5000
N8 N 0.0000 0.0000 0.0000
Pr1 Pr 0.1070 0.2140 0.7500
Pr2 Pr 0.8930 0.7860 0.2500
Ga1 Ga 0.1635 0.3271 0.2500
Ga2 Ga 0.8365 0.6729 0.7500
Pm1 Pm 0.6309 0.2617 0.0445
Pm2 Pm 0.3691 0.7383 0.5445
Pm3 Pm 0.3691 0.7383 0.9555
Pm4 Pm 0.6309 0.2617 0.4555
```

Calculated values
**DFT total energy**: -7.383 eV per atom
**Space-group type**: No. 63
**Theoretical density**: 7333 kg/m³
**ΔE_f (raw)**: -8.45 eV per formula unit



# 9
Zn2SiSnAs4 | PBE-GGA | relaxed

```
data_Zn2SiSnAs4
_cell_length_a 5.7790
_cell_length_b 5.7790
_cell_length_c 7.0783
_cell_angle_alpha 114.10
_cell_angle_beta 114.10
_cell_angle_gamma 89.99
_symmetry_space_group_name_H-M 'P 1'
_symmetry_Int_Tables_number 1
loop_
_symmetry_equiv_pos_as_xyz
'x,y,z'
loop_
_atom_site_label
_atom_site_type_symbol
_atom_site_fract_x
_atom_site_fract_y
_atom_site_fract_z
Zn1 Zn 0.7500 0.2500 0.5000
Zn2 Zn 0.2500 0.7500 0.5000
As1 As 0.5988 0.5988 0.7390
As2 As 0.8600 0.4012 0.2612
As3 As 0.4012 0.8600 0.2612
As4 As 0.1402 0.1402 0.7390
Si1 Si 0.5001 0.5001 0.0002
Sn1 Sn 0.0000 0.0000 0.9999
```

Calculated values
**DFT total energy**: -4.001 eV per atom
**Space-group type**: No. 121
**Theoretical density**: 4967 kg/m³
**ΔE_f (raw)**: -1.44 eV per formula unit



# 10
Ac5GaHg2 | PBE-GGA | relaxed

```
data_Ac5GaHg2
_cell_length_a 8.2536
_cell_length_b 8.2536
_cell_length_c 10.2576
_cell_angle_alpha 113.72
_cell_angle_beta 113.72
_cell_angle_gamma 90.00
_symmetry_space_group_name_H-M 'P 1'
_symmetry_Int_Tables_number 1
loop_
_symmetry_equiv_pos_as_xyz
'x,y,z'
loop_
_atom_site_label
_atom_site_type_symbol
_atom_site_fract_x
_atom_site_fract_y
_atom_site_fract_z
Hg1 Hg 0.8736 0.6264 0.0000
Hg2 Hg 0.1264 0.3736 0.0000
Hg3 Hg 0.6264 0.1264 0.0000
Hg4 Hg 0.3736 0.8736 0.0000
Ac1 Ac 0.8233 0.9854 0.3087
Ac2 Ac 0.1767 0.0146 0.6913
Ac3 Ac 0.6767 0.1767 0.6913
Ac4 Ac 0.0146 0.5146 0.6913
Ac5 Ac 0.0000 0.0000 0.0000
Ac6 Ac 0.5000 0.5000 0.0000
Ac7 Ac 0.9854 0.4854 0.3087
Ac8 Ac 0.4854 0.3233 0.3087
Ac9 Ac 0.3233 0.8233 0.3087
Ac10 Ac 0.5146 0.6767 0.6913
Ga1 Ga 0.2500 0.2500 0.5000
Ga2 Ga 0.7500 0.7500 0.5000
```

Calculated values
**Calculated formation energy**: -0.320 eV/atom
**DFT total energy**: -3.341 eV per atom
**Space-group type**: No. 140
**Theoretical density**: 9281 kg/m³



# 11
Tm4HgIr2 | PBE-GGA | relaxed

```
data_Tm4HgIr2
_cell_length_a 7.9674
_cell_length_b 7.9673
_cell_length_c 7.5451
_cell_angle_alpha 108.95
_cell_angle_beta 108.55
_cell_angle_gamma 113.03
_symmetry_space_group_name_H-M 'P 1'
_symmetry_Int_Tables_number 1
loop_
_symmetry_equiv_pos_as_xyz
'x,y,z'
loop_
_atom_site_label
_atom_site_type_symbol
_atom_site_fract_x
_atom_site_fract_y
_atom_site_fract_z
Tm1 Tm 0.8494 0.7131 0.2213
Tm2 Tm 0.7697 0.0755 0.6665
Tm3 Tm 0.8886 0.5885 0.6569
Tm4 Tm 0.2788 0.1520 0.7719
Tm5 Tm 0.9316 0.2317 0.3431
Tm6 Tm 0.4918 0.6281 0.7787
Tm7 Tm 0.3801 0.5069 0.2281
Tm8 Tm 0.4090 0.1032 0.3335
Ir1 Ir 0.6497 0.3699 0.7916
Ir2 Ir 0.1428 0.4321 0.8031
Ir3 Ir 0.5782 0.8580 0.2084
Ir4 Ir 0.6290 0.3397 0.1969
Hg1 Hg 0.2513 0.7513 0.5000
Hg2 Hg 0.0001 0.0001 0.0000
```

Calculated values
**Calculated formation energy**: -0.578 eV/atom
**DFT total energy**: -5.708 eV per atom
**Space-group type**: No. 5
**Theoretical density**: 11688 kg/m³
**Energy above the most stable polymorph in this dataset**: 0.0916 eV/atom



# 12
Ce2BeGe3Pd4 | PBE-GGA | relaxed

```
data_Ce2BeGe3Pd4
_cell_length_a 4.2711
_cell_length_b 4.2711
_cell_length_c 10.0790
_cell_angle_alpha 90.00
_cell_angle_beta 90.00
_cell_angle_gamma 90.00
_symmetry_space_group_name_H-M 'P 1'
_symmetry_Int_Tables_number 1
loop_
_symmetry_equiv_pos_as_xyz
'x,y,z'
loop_
_atom_site_label
_atom_site_type_symbol
_atom_site_fract_x
_atom_site_fract_y
_atom_site_fract_z
Ge1 Ge 0.5000 0.0000 0.8630
Ge2 Ge 0.0000 0.0000 0.5000
Ge3 Ge 0.0000 0.5000 0.1370
Be1 Be 0.5000 0.5000 0.5000
Pd1 Pd 0.5000 0.0000 0.6178
Pd2 Pd 0.0000 0.5000 0.3822
Pd3 Pd 0.0000 0.0000 0.0000
Pd4 Pd 0.5000 0.5000 0.0000
Ce1 Ce 0.5000 0.0000 0.2578
Ce2 Ce 0.0000 0.5000 0.7422
```

Calculated values
**Calculated formation energy**: -0.725 eV/atom
**DFT total energy**: -5.746 eV per atom
**Space-group type**: No. 115
**Theoretical density**: 8425 kg/m³



What is the theoretical density in the first record? 5324 kg/m³



What is the formula in the fifth record? Nd5Dy2HoSc



Among the records above, which one has the lowest DFT total energy? Pm2PrGaN4